Material: Cr3Co
Method: DFT, GGA-PBE
State: relaxed

Cell lengths 4.478, 8.288, 4.923 Å; angles 90.00, 90.00, 90.00 degrees
Fractional coordinates of all 16 atoms:
Cr1 0.042 0.250 0.116
Cr2 0.233 0.515 0.387
Cr3 0.233 0.985 0.387
Cr4 0.267 0.015 0.887
Cr5 0.267 0.485 0.887
Cr6 0.458 0.750 0.616
Cr7 0.542 0.250 0.384
Cr8 0.733 0.515 0.113
Cr9 0.733 0.985 0.113
Cr10 0.767 0.015 0.613
Cr11 0.767 0.485 0.613
Cr12 0.958 0.750 0.884
Co1 0.075 0.250 0.617
Co2 0.425 0.750 0.117
Co3 0.575 0.250 0.883
Co4 0.925 0.750 0.383

DFT formation energy in eV/f.u.: 0.8
Fermi-level density of states in states/eV per cell: 25.9
Volume in Å³/cell: 183
Uncorrected energy in eV per atom: -8.7841